Record 1
A geometry-optimized PrAlNi4 structure, computed with PBE.

abc: 4.983 4.983 4.983
angles: 60.00 60.00 60.00
Sites, in units of the cell vectors:
Pr: 0.250 0.250 0.250
Ni: 0.627 0.627 0.119
Ni: 0.627 0.119 0.627
Ni: 0.627 0.627 0.627
Ni: 0.119 0.627 0.627
Al: 0.000 0.000 0.000

Summary:
Formation enthalpy at 0 K in kJ per mole of atoms: -32
ρ in Mg/m³: 7.64
Excess energy over the best structure of this formula in the dataset in meV/atom: 119.3

***

Record 2
A geometry-optimized Pr2Al6Ni3 structure, computed with PBE.

abc: 4.107 7.573 7.573
angles: 120.00 90.00 90.00
Sites, in units of the cell vectors:
Pr: 0.000 0.667 0.333
Pr: 0.000 0.333 0.667
Al: 0.500 0.702 0.702
Al: 0.500 0.000 0.298
Al: 0.000 0.202 0.202
Al: 0.000 0.798 0.000
Al: 0.500 0.298 0.000
Al: 0.000 0.000 0.798
Ni: 0.500 0.366 0.366
Ni: 0.500 0.634 0.000
Ni: 0.500 0.000 0.634

Summary:
Formation enthalpy at 0 K in kJ per mole of atoms: -45
ρ in Mg/m³: 5.05

***

Record 3
A geometry-optimized Pr2Al3Ni5 structure, computed with PBE.

abc: 5.692 8.260 8.260
angles: 74.77 69.85 69.85
Sites, in units of the cell vectors:
Pr: 0.127 0.609 0.137
Pr: 0.627 0.137 0.609
Pr: 0.873 0.391 0.863
Pr: 0.373 0.863 0.391
Al: 0.360 0.542 0.737
Al: 0.860 0.737 0.542
Al: 0.640 0.458 0.263
Al: 0.140 0.263 0.458
Al: 0.250 0.000 0.000
Al: 0.750 0.000 0.000
Ni: 0.387 0.270 0.956
Ni: 0.887 0.956 0.270
Ni: 0.613 0.730 0.044
Ni: 0.113 0.044 0.730
Ni: 0.466 0.784 0.784
Ni: 0.534 0.216 0.216
Ni: 0.750 0.500 0.500
Ni: 0.250 0.500 0.500
Ni: 0.034 0.216 0.216
Ni: 0.966 0.784 0.784

Summary:
Formation enthalpy at 0 K in kJ per mole of atoms: -43
ρ in Mg/m³: 6.46

***

Record 4
A geometry-optimized PrAl4Ni structure, computed with PBE.

abc: 4.495 5.936 8.942
angles: 90.00 104.56 90.00
Sites, in units of the cell vectors:
Pr: 0.398 0.750 0.795
Pr: 0.602 0.250 0.205
Al: 0.207 0.493 0.414
Al: 0.793 0.507 0.586
Al: 0.207 0.007 0.414
Al: 0.793 0.993 0.586
Al: 0.650 0.750 0.300
Al: 0.350 0.250 0.700
Al: 0.000 0.500 0.000
Al: 0.000 0.000 0.000
Ni: 0.101 0.750 0.202
Ni: 0.899 0.250 0.798

Summary:
Formation enthalpy at 0 K in kJ per mole of atoms: -33
ρ in Mg/m³: 4.42

***

Record 5
A geometry-optimized Pr2Al4NiPt3 structure, computed with PBE.

abc: 4.297 4.297 10.324
angles: 90.00 90.00 90.00
Sites, in units of the cell vectors:
Pr: 0.500 0.000 0.254
Pr: 0.000 0.500 0.746
Al: 0.500 0.500 0.000
Al: 0.000 0.000 0.000
Al: 0.500 0.000 0.621
Al: 0.000 0.500 0.379
Ni: 0.500 0.500 0.500
Pt: 0.000 0.000 0.500
Pt: 0.500 0.000 0.866
Pt: 0.000 0.500 0.134

Summary:
Formation enthalpy at 0 K in kJ per mole of atoms: -95
ρ in Mg/m³: 9.01

***

Record 6
A geometry-optimized Pr2AlNi3Pt12 structure, computed with PBE.

abc: 7.950 7.950 7.950
angles: 60.51 60.51 60.51
Site moments in Bohr magnetons follow the coordinates.
Sites, in units of the cell vectors:
Pr: 0.621 0.621 0.621  0.01
Pr: 0.379 0.379 0.379  0.01
Al: 0.000 0.000 0.000  0.00
Ni: 0.500 0.000 0.000  0.70
Ni: 0.000 0.500 0.000  0.70
Ni: 0.000 0.000 0.500  0.70
Pt: 0.370 0.370 0.880  0.14
Pt: 0.875 0.875 0.373  0.08
Pt: 0.373 0.875 0.875  0.08
Pt: 0.880 0.370 0.370  0.14
Pt: 0.875 0.373 0.875  0.08
Pt: 0.370 0.880 0.370  0.14
Pt: 0.630 0.630 0.120  0.14
Pt: 0.125 0.125 0.627  0.08
Pt: 0.627 0.125 0.125  0.08
Pt: 0.120 0.630 0.630  0.14
Pt: 0.125 0.627 0.125  0.08
Pt: 0.630 0.120 0.630  0.14

Summary:
Formation enthalpy at 0 K in kJ per mole of atoms: -11
ρ in Mg/m³: 13.06

***

Record 7
A geometry-optimized PrAlNiPt3 structure, computed with PBE.

abc: 5.686 6.801 6.760
angles: 120.20 90.00 90.00
Sites, in units of the cell vectors:
Pr: 0.750 0.276 0.552
Pr: 0.250 0.724 0.448
Al: 0.250 0.372 0.745
Al: 0.750 0.628 0.255
Ni: 0.250 0.953 0.906
Ni: 0.750 0.047 0.094
Pt: 0.250 0.169 0.338
Pt: 0.000 0.292 0.000
Pt: 0.500 0.708 0.000
Pt: 0.500 0.292 0.000
Pt: 0.000 0.708 0.000
Pt: 0.750 0.831 0.662

Summary:
Formation enthalpy at 0 K in kJ per mole of atoms: -59
ρ in Mg/m³: 11.93

***

Record 8
A geometry-optimized Pr2Al3NiPt4 structure, computed with PBE.

abc: 4.281 4.281 10.392
angles: 90.00 90.00 90.00
Sites, in units of the cell vectors:
Pr: 0.500 0.000 0.257
Pr: 0.000 0.500 0.743
Al: 0.000 0.000 0.500
Al: 0.500 0.000 0.873
Al: 0.000 0.500 0.127
Ni: 0.500 0.500 0.500
Pt: 0.500 0.500 0.000
Pt: 0.000 0.000 0.000
Pt: 0.500 0.000 0.635
Pt: 0.000 0.500 0.365

Summary:
Formation enthalpy at 0 K in kJ per mole of atoms: -94
ρ in Mg/m³: 10.48

***

Record 9
A geometry-optimized PrAl2Ni2Pt structure, computed with PBE.

abc: 4.658 4.658 5.525
angles: 90.00 90.00 90.00
Sites, in units of the cell vectors:
Pr: 0.000 0.000 0.500
Al: 0.500 0.000 0.000
Al: 0.000 0.500 0.000
Ni: 0.500 0.500 0.745
Ni: 0.500 0.500 0.255
Pt: 0.000 0.000 0.000

Summary:
Formation enthalpy at 0 K in kJ per mole of atoms: -23
ρ in Mg/m³: 7.03

***

Record 10
A geometry-optimized Pr2AlNiS5 structure, computed with PBE.

abc: 3.929 8.828 11.053
angles: 90.00 90.00 102.86
Site moments in Bohr magnetons follow the coordinates.
Sites, in units of the cell vectors:
Pr: 0.878 0.757 0.795  0.00
Pr: 0.108 0.217 0.672  -0.01
Pr: 0.122 0.243 0.295  0.00
Pr: 0.892 0.783 0.172  -0.01
Al: 0.597 0.193 0.963  0.01
Al: 0.403 0.807 0.463  0.01
Ni: 0.745 0.490 0.620  0.66
Ni: 0.255 0.510 0.120  0.66
S: 0.355 0.711 0.990  0.03
S: 0.697 0.394 0.820  0.05
S: 0.508 0.016 0.791  0.01
S: 0.307 0.614 0.627  0.08
S: 0.955 0.909 0.546  0.01
S: 0.645 0.289 0.490  0.03
S: 0.303 0.606 0.320  0.05
S: 0.492 0.984 0.291  0.01
S: 0.693 0.386 0.127  0.08
S: 0.045 0.091 0.046  0.01

Summary:
ρ in Mg/m³: 4.69
Uncorrected energy in eV per atom: -5.844

***

Record 11
A geometry-optimized Pr3AlNiS7 structure, computed with PBE.

abc: 9.916 9.916 6.282
angles: 90.00 90.00 120.00
Site moments in Bohr magnetons follow the coordinates.
Sites, in units of the cell vectors:
Pr: 0.780 0.156 0.228  0.01
Pr: 0.375 0.220 0.228  0.01
Pr: 0.844 0.625 0.228  0.01
Pr: 0.220 0.844 0.728  0.01
Pr: 0.625 0.780 0.728  0.01
Pr: 0.156 0.375 0.728  0.01
Al: 0.667 0.333 0.652  0.00
Al: 0.333 0.667 0.152  0.00
Ni: 0.000 0.000 0.052  1.22
Ni: 0.000 0.000 0.552  1.22
S: 0.871 0.095 0.815  0.14
S: 0.223 0.129 0.815  0.14
S: 0.905 0.777 0.815  0.14
S: 0.129 0.905 0.315  0.14
S: 0.777 0.871 0.315  0.14
S: 0.095 0.223 0.315  0.14
S: 0.906 0.430 0.508  0.01
S: 0.524 0.094 0.508  0.01
S: 0.570 0.476 0.508  0.01
S: 0.094 0.570 0.008  0.01
S: 0.476 0.906 0.008  0.01
S: 0.430 0.524 0.008  0.01
S: 0.667 0.333 0.008  0.01
S: 0.333 0.667 0.508  0.01

Summary:
ρ in Mg/m³: 4.55
Uncorrected energy in eV per atom: -5.954

***

Record 12
A geometry-optimized PrAl2SiNi4 structure, computed with PBE.

abc: 4.031 4.031 8.836
angles: 76.81 76.81 60.00
Sites, in units of the cell vectors:
Pr: 0.000 0.000 0.000
Al: 0.762 0.762 0.713
Al: 0.238 0.238 0.287
Si: 0.500 0.500 0.500
Ni: 0.411 0.411 0.766
Ni: 0.862 0.862 0.414
Ni: 0.138 0.138 0.586
Ni: 0.589 0.589 0.234

Summary:
ρ in Mg/m³: 6.34
Uncorrected energy in eV per atom: -5.645

***

Record 13
A geometry-optimized Pr2AlSi3Ni12 structure, computed with PBE.

abc: 6.328 6.328 6.328
angles: 84.52 84.52 84.52
Sites, in units of the cell vectors:
Pr: 0.648 0.648 0.648
Pr: 0.352 0.352 0.352
Al: 0.000 0.000 0.000
Si: 0.500 0.000 0.000
Si: 0.000 0.500 0.000
Si: 0.000 0.000 0.500
Ni: 0.381 0.381 0.908
Ni: 0.817 0.817 0.290
Ni: 0.290 0.817 0.817
Ni: 0.908 0.381 0.381
Ni: 0.817 0.290 0.817
Ni: 0.381 0.908 0.381
Ni: 0.619 0.619 0.092
Ni: 0.183 0.183 0.710
Ni: 0.710 0.183 0.183
Ni: 0.092 0.619 0.619
Ni: 0.183 0.710 0.183
Ni: 0.619 0.092 0.619

Summary:
ρ in Mg/m³: 7.29
Uncorrected energy in eV per atom: -5.636

***

Record 14
A geometry-optimized PrAl2SiNi2 structure, computed with PBE.

abc: 4.303 4.303 5.675
angles: 90.00 90.00 90.00
Sites, in units of the cell vectors:
Pr: 0.000 0.000 0.500
Al: 0.500 0.500 0.748
Al: 0.500 0.500 0.252
Si: 0.000 0.000 0.000
Ni: 0.500 0.000 0.000
Ni: 0.000 0.500 0.000

Summary:
ρ in Mg/m³: 5.38
Uncorrected energy in eV per atom: -5.332

***

Record 15
A geometry-optimized PrAlSi2Ni5 structure, computed with PBE.

abc: 3.862 3.862 9.631
angles: 90.00 90.00 90.00
Sites, in units of the cell vectors:
Pr: 0.000 0.000 0.500
Al: 0.000 0.000 0.000
Si: 0.500 0.500 0.272
Si: 0.500 0.500 0.728
Ni: 0.000 0.500 0.150
Ni: 0.500 0.000 0.150
Ni: 0.000 0.500 0.850
Ni: 0.500 0.000 0.850
Ni: 0.500 0.500 0.500

Summary:
ρ in Mg/m³: 5.98
Uncorrected energy in eV per atom: -5.675

***

Record 16
A geometry-optimized Pr2AlSi4Ni3 structure, computed with PBE.

abc: 4.063 4.063 9.979
angles: 90.00 90.00 90.00
Sites, in units of the cell vectors:
Pr: 0.500 0.000 0.240
Pr: 0.000 0.500 0.760
Al: 0.500 0.500 0.500
Si: 0.500 0.500 0.000
Si: 0.000 0.000 0.000
Si: 0.500 0.000 0.646
Si: 0.000 0.500 0.354
Ni: 0.000 0.000 0.500
Ni: 0.500 0.000 0.883
Ni: 0.000 0.500 0.117

Summary:
ρ in Mg/m³: 6.02
Uncorrected energy in eV per atom: -5.992

***

Record 17
A geometry-optimized PrYAlNi structure, computed with PBE.

abc: 5.091 5.091 5.091
angles: 60.00 60.00 60.00
Sites, in units of the cell vectors:
Pr: 0.250 0.250 0.250
Y: 0.750 0.750 0.750
Al: 0.000 0.000 0.000
Ni: 0.500 0.500 0.500

Summary:
Formation enthalpy at 0 K in kJ per mole of atoms: -23
ρ in Mg/m³: 5.62

***

Record 18
A geometry-optimized PrAlZn2Ni2 structure, computed with PBE.

abc: 4.372 4.372 5.772
angles: 90.00 90.00 90.00
Sites, in units of the cell vectors:
Pr: 0.000 0.000 0.500
Al: 0.000 0.000 0.000
Zn: 0.500 0.500 0.754
Zn: 0.500 0.500 0.246
Ni: 0.500 0.000 0.000
Ni: 0.000 0.500 0.000

Summary:
Formation enthalpy at 0 K in kJ per mole of atoms: -11
ρ in Mg/m³: 6.26

***

Record 19
A geometry-optimized Pr2AlZn2Ni5 structure, computed with PBE.

abc: 3.466 9.647 9.647
angles: 90.00 90.00 90.00
Sites, in units of the cell vectors:
Pr: 0.000 0.679 0.179
Pr: 0.000 0.321 0.821
Pr: 0.000 0.179 0.321
Pr: 0.000 0.821 0.679
Al: 0.000 0.000 0.000
Al: 0.000 0.500 0.500
Zn: 0.000 0.120 0.620
Zn: 0.000 0.880 0.380
Zn: 0.000 0.620 0.880
Zn: 0.000 0.380 0.120
Ni: 0.500 0.197 0.054
Ni: 0.500 0.803 0.946
Ni: 0.500 0.054 0.803
Ni: 0.500 0.697 0.446
Ni: 0.500 0.946 0.197
Ni: 0.500 0.303 0.554
Ni: 0.500 0.554 0.697
Ni: 0.500 0.446 0.303
Ni: 0.500 0.500 0.000
Ni: 0.500 0.000 0.500

Summary:
Formation enthalpy at 0 K in kJ per mole of atoms: -21
ρ in Mg/m³: 7.55

***

Record 20
A geometry-optimized PrAl3ZnNi structure, computed with PBE.

abc: 5.906 6.078 6.929
angles: 116.01 90.00 90.00
Sites, in units of the cell vectors:
Pr: 0.750 0.280 0.560
Pr: 0.250 0.720 0.440
Al: 0.250 0.134 0.268
Al: 0.000 0.285 0.000
Al: 0.500 0.715 0.000
Al: 0.500 0.285 0.000
Al: 0.000 0.715 0.000
Al: 0.750 0.866 0.732
Zn: 0.250 0.348 0.696
Zn: 0.750 0.652 0.304
Ni: 0.250 0.935 0.871
Ni: 0.750 0.065 0.129

Summary:
Formation enthalpy at 0 K in kJ per mole of atoms: -28
ρ in Mg/m³: 5.14